Record 1
{"formula": "Li4PmCu", "functional": "GGA-PBE", "state": "relaxed", "cell": [[0.000, 3.791, 3.791], [3.791, 0.000, 3.791], [3.791, 3.791, 0.000]], "species": ["Li", "Li", "Li", "Li", "Pm", "Cu"], "fractional_positions": [[0.378, 0.378, 0.378], [0.378, 0.378, 0.865], [0.378, 0.865, 0.378], [0.865, 0.378, 0.378], [0.000, 0.000, 0.000], [0.750, 0.750, 0.750]], "space_group": "F-43m", "formation_enthalpy_0k_ev_per_atom": 0.114}


Record 2
{"formula": "Ni2Bi2Pd", "functional": "GGA-PBE", "state": "relaxed", "cell": [[-1.731, 1.731, 7.998], [1.731, -1.731, 7.998], [1.731, 1.731, -7.998]], "species": ["Ni", "Ni", "Bi", "Bi", "Pd"], "fractional_positions": [[0.250, 0.750, 0.500], [0.750, 0.250, 0.500], [0.115, 0.115, 0.000], [0.885, 0.885, 0.000], [0.500, 0.500, 0.000]], "de_polymorph_kcal_per_mol_atoms": 1.78, "space_group": "I4/mmm", "formation_enthalpy_0k_ev_per_atom": 0.091}


Record 3
{"formula": "RbAlH8N4", "functional": "GGA-PBE", "state": "relaxed", "cell": [[9.098, 0.000, 0.000], [0.000, 9.098, 0.000], [0.000, 0.000, 4.605]], "species": ["Rb", "Rb", "Al", "Al", "H", "H", "H", "H", "H", "H", "H", "H", "H", "H", "H", "H", "H", "H", "H", "H", "N", "N", "N", "N", "N", "N", "N", "N"], "fractional_positions": [[0.250, 0.250, 0.250], [0.750, 0.750, 0.750], [0.250, 0.750, 0.000], [0.750, 0.250, 0.000], [0.018, 0.534, 0.969], [0.034, 0.982, 0.031], [0.118, 0.642, 0.573], [0.142, 0.882, 0.427], [0.358, 0.618, 0.427], [0.382, 0.858, 0.573], [0.466, 0.518, 0.031], [0.482, 0.966, 0.969], [0.518, 0.034, 0.031], [0.534, 0.482, 0.969], [0.618, 0.142, 0.427], [0.642, 0.382, 0.573], [0.858, 0.118, 0.573], [0.882, 0.358, 0.427], [0.966, 0.018, 0.969], [0.982, 0.466, 0.031], [0.092, 0.716, 0.739], [0.216, 0.908, 0.261], [0.284, 0.592, 0.261], [0.408, 0.784, 0.739], [0.592, 0.216, 0.261], [0.716, 0.408, 0.739], [0.784, 0.092, 0.739], [0.908, 0.284, 0.261]], "de_polymorph_kcal_per_mol_atoms": 16.92, "space_group": "P4/n"}